(1)
First-principles (PBE) data for crystalline ZrAs2Se at its relaxed geometry, as listed in Alexandria.

## Properties
D(E_F) (states/eV/f.u.): 1.43
Density (g cm⁻³): 6.56
Energy relative to the elements, uncorrected (eV per formula unit): -1.744

Cell lengths 3.7892, 3.5627, 6.1092 Å; angles 90.00, 100.96, 90.00 degrees
Space group P2/m (No. 10)
Symmetry-distinct sites (fractional):
Zr  0.0000  0.0000  0.0000 x1
As  0.4278  0.5000  0.7830 x2
Se  0.0000  0.0000  0.5000 x1

---

(2)
First-principles (PBE) data for crystalline NdIn4Pd2 at its relaxed geometry, as listed in Alexandria.

## Properties
D(E_F) (states/eV/f.u.): 3.37
Polymorph energy (0 for the lowest one) (kJ/mol of formula units): 3
Density (g cm⁻³): 8.71
E_form (eV per atom): -0.5709

Cell lengths 18.6956, 4.6250, 7.2006 Å; angles 90.00, 90.00, 90.00 degrees
Space group Pnma (No. 62)
Symmetry-distinct sites (fractional):
Nd  0.1410  0.2500  0.0178 x4
In  0.0342  0.7500  0.8481 x4
In  0.0706  0.2500  0.4963 x4
In  0.1853  0.7500  0.3174 x4
In  0.1920  0.7500  0.7307 x4
Pd  0.0394  0.7500  0.2451 x4
Pd  0.2169  0.2500  0.5281 x4

---

(3)
First-principles (PBE) data for crystalline LiPrEuRh at its relaxed geometry, as listed in Alexandria.

## Properties
D(E_F) (states/eV/f.u.): 3.63
Density (g cm⁻³): 7.04
E_form (eV per atom): -0.2885

Cell lengths 7.2415, 7.2415, 7.2415 Å; angles 90.00, 90.00, 90.00 degrees
Space group F-43m (No. 216)
Symmetry-distinct sites (fractional):
Li  0.0000  0.0000  0.0000 x4
Pr  0.2500  0.2500  0.7500 x4
Eu  0.2500  0.2500  0.2500 x4
Rh  0.0000  0.0000  0.5000 x4

---

(4)
First-principles (PBE) data for crystalline BaYCuS2 at its relaxed geometry, as listed in Alexandria.

## Properties
D(E_F) (states/eV/f.u.): 4.89
Density (g cm⁻³): 2.80
Energy relative to the elements, uncorrected (eV per formula unit): 4.318

Cell lengths 5.5347, 5.5347, 6.8438 Å; angles 90.00, 90.00, 90.00 degrees
Space group P4/mmm (No. 123)
Symmetry-distinct sites (fractional):
Ba  0.0000  0.0000  0.0000 x1
Y  0.0000  0.0000  0.5000 x1
Cu  0.5000  0.5000  0.5000 x1
S  0.0000  0.5000  0.0000 x2

---

(5)
First-principles (PBE) data for crystalline Te2MoP at its relaxed geometry, as listed in Alexandria.

## Properties
D(E_F) (states/eV/f.u.): 3.31
Density (g cm⁻³): 6.29
Energy relative to the elements, uncorrected (eV per formula unit): 1.168

Cell lengths 3.2792, 4.8103, 12.7954 Å; angles 90.00, 90.00, 90.00 degrees
Space group Imm2 (No. 44)
Symmetry-distinct sites (fractional):
Te  0.0000  0.0000  0.0000 x2
Te  0.0000  0.5000  0.2183 x2
Mo  0.0000  0.0000  0.5437 x2
P  0.0000  0.5000  0.8978 x2

---

(6)
First-principles (PBE) data for crystalline MgNpAl2Au4 at its relaxed geometry, as listed in Alexandria.

## Properties
D(E_F) (states/eV/f.u.): 14.60
Density (g cm⁻³): 11.97
E_form (eV per atom): -0.3562

Cell lengths 4.5032, 4.5032, 26.1323 Å; angles 90.00, 90.00, 120.00 degrees
Space group R-3m (No. 166, hexagonal axes)
Symmetry-distinct sites (fractional):
Mg  0.0000  0.0000  0.0000 x3
Np  0.0000  0.0000  0.5000 x3
Al  0.0000  0.0000  0.2570 x6
Au  0.0000  0.0000  0.1066 x6
Au  0.0000  0.0000  0.3708 x6

---

(7)
First-principles (PBE) data for crystalline Li2BiHPd6 at its relaxed geometry, as listed in Alexandria.

## Properties
D(E_F) (states/eV/f.u.): 4.16
Density (g cm⁻³): 7.24
E_tot (eV/atom): -4.00

Cell lengths 4.8634, 4.8634, 8.3584 Å; angles 90.00, 90.00, 90.00 degrees
Space group P4/mmm (No. 123)
Symmetry-distinct sites (fractional):
Li  0.0000  0.0000  0.2154 x2
Bi  0.5000  0.5000  0.5000 x1
H  0.5000  0.5000  0.0000 x1
Pd  0.0000  0.5000  0.0000 x2
Pd  0.0000  0.5000  0.5000 x2
Pd  0.5000  0.5000  0.1924 x2

---

(8)
First-principles (PBE) data for crystalline Sc3MoRu at its relaxed geometry, as listed in Alexandria.

## Properties
D(E_F) (states/eV/f.u.): 5.24
Polymorph energy (0 for the lowest one) (kJ/mol of formula units): 149
Density (g cm⁻³): 4.91
E_form (eV per atom): 0.8547

Cell lengths 4.8230, 4.8230, 4.8230 Å; angles 90.00, 90.00, 90.00 degrees
Space group Pm-3m (No. 221)
Symmetry-distinct sites (fractional):
Sc  0.0000  0.0000  0.5000 x3
Mo  0.0000  0.0000  0.0000 x1
Ru  0.5000  0.5000  0.5000 x1

---

(9)
First-principles (PBE) data for crystalline TcPt3N at its relaxed geometry, as listed in Alexandria.

## Properties
D(E_F) (states/eV/f.u.): 4.68
Polymorph energy (0 for the lowest one) (kJ/mol of formula units): 708
Density (g cm⁻³): 10.33
Energy relative to the elements, uncorrected (eV per formula unit): 11.372

Cell lengths 4.8212, 4.8212, 4.8212 Å; angles 90.00, 90.00, 90.00 degrees
Space group Pm-3m (No. 221)
Symmetry-distinct sites (fractional):
Tc  0.0000  0.0000  0.0000 x1
Pt  0.0000  0.0000  0.5000 x3
N  0.5000  0.5000  0.5000 x1

---

(10)
First-principles (PBE) data for crystalline Zn4CdCo at its relaxed geometry, as listed in Alexandria.

## Properties
D(E_F) (states/eV/f.u.): 5.04
Density (g cm⁻³): 8.07
E_form (eV per atom): 0.1561

Cell lengths 7.0892, 7.0892, 7.0892 Å; angles 90.00, 90.00, 90.00 degrees
Space group F-43m (No. 216)
Symmetry-distinct sites (fractional):
Zn  0.1241  0.1241  0.3759 x16
Cd  0.0000  0.0000  0.0000 x4
Co  0.2500  0.2500  0.7500 x4

---

(11)
First-principles (PBE) data for crystalline SrCo3Ir at its relaxed geometry, as listed in Alexandria.

## Properties
D(E_F) (states/eV/f.u.): 5.80
Polymorph energy (0 for the lowest one) (kJ/mol of formula units): 0
Density (g cm⁻³): 7.32
E_form (eV per atom): 0.6670

Cell lengths 4.6975, 4.6975, 4.6975 Å; angles 90.00, 90.00, 90.00 degrees
Space group Pm-3m (No. 221)
Symmetry-distinct sites (fractional):
Sr  0.0000  0.0000  0.0000 x1
Co  0.0000  0.5000  0.5000 x3
Ir  0.5000  0.5000  0.5000 x1

---

(12)
First-principles (PBE) data for crystalline Ga2Ni5Ir at its relaxed geometry, as listed in Alexandria.

## Properties
D(E_F) (states/eV/f.u.): 10.00
Density (g cm⁻³): 10.74
E_form (eV per atom): -0.2509

Cell lengths 5.1902, 10.3345, 3.6038 Å; angles 90.00, 90.00, 90.00 degrees
Space group Pbam (No. 55)
Symmetry-distinct sites (fractional):
Ga  0.2453  0.1282  0.0000 x4
Ni  0.0000  0.0000  0.5000 x2
Ni  0.0074  0.2484  0.5000 x4
Ni  0.2410  0.8722  0.0000 x4
Ir  0.0000  0.5000  0.5000 x2